# 1
# NaCuSb GGA-PBE relaxed
# Calculated density: 4.95 g/cm3
# Calculated total energy: -3.371 eV/atom
# Formation energy (no corrections): -0.192 eV/atom
data_NaCuSb
_cell_length_a 4.7089
_cell_length_b 4.2817
_cell_length_c 6.9650
_cell_angle_alpha 90.00
_cell_angle_beta 95.66
_cell_angle_gamma 90.00
_space_group_name_H-M_alt 'P 1 21/m 1'
_space_group_IT_number 11
_space_group_name_Hall '-P 2yb'
loop_
_atom_site_label
_atom_site_fract_x
_atom_site_fract_y
_atom_site_fract_z
Na1 0.2416 0.2500 0.3419
Cu1 0.1631 0.7500 0.0076
Sb1 0.3051 0.2500 0.8135


# 2
# Na3Cu6Sb5 GGA-PBE relaxed
# Calculated density: 5.93 g/cm3
# Calculated total energy: -3.613 eV/atom
# Formation energy (no corrections): -0.103 eV/atom
data_Na3Cu6Sb5
_cell_length_a 4.2034
_cell_length_b 12.1490
_cell_length_c 11.6147
_cell_angle_alpha 90.00
_cell_angle_beta 90.00
_cell_angle_gamma 90.00
_space_group_name_H-M_alt 'P m m n'
_space_group_IT_number 59
loop_
_space_group_symop_operation_xyz
'x,y,z'
'-x,-y,-z'
'-x+1/2,-y+1/2,z'
'x+1/2,y+1/2,-z'
'x+1/2,-y,-z'
'-x+1/2,y,z'
'-x,y+1/2,-z'
'x,-y+1/2,z'
loop_
_atom_site_label
_atom_site_fract_x
_atom_site_fract_y
_atom_site_fract_z
Na1 0.2500 0.0978 0.2232
Na2 0.2500 0.7500 0.2601
Cu1 0.2500 0.0632 0.8639
Cu2 0.2500 0.2500 0.5078
Cu3 0.2500 0.2500 0.9673
Cu4 0.2500 0.5979 0.4848
Sb1 0.2500 0.0630 0.6407
Sb2 0.2500 0.6171 0.0056
Sb3 0.2500 0.7500 0.6386


# 3
# Na3CuSb GGA-PBE relaxed
# Calculated density: 2.87 g/cm3
# Calculated total energy: -2.206 eV/atom
# Formation energy (no corrections): 0.229 eV/atom
# Energy above the most stable polymorph in this dataset: 340.4 meV/atom
data_Na3CuSb
_cell_length_a 5.2770
_cell_length_b 5.2770
_cell_length_c 5.2770
_cell_angle_alpha 90.00
_cell_angle_beta 90.00
_cell_angle_gamma 90.00
_space_group_name_H-M_alt 'P m -3 m'
_space_group_IT_number 221
_space_group_name_Hall '-P 4 2 3'
loop_
_atom_site_label
_atom_site_fract_x
_atom_site_fract_y
_atom_site_fract_z
Na1 0.0000 0.0000 0.5000
Cu1 0.0000 0.0000 0.0000
Sb1 0.5000 0.5000 0.5000


# 4
# Na3CuSb GGA-PBE relaxed
# Calculated density: 2.12 g/cm3
# Calculated total energy: -2.131 eV/atom
# Formation energy (no corrections): 0.304 eV/atom
# Energy above the most stable polymorph in this dataset: 415.7 meV/atom
data_Na3CuSb
_cell_length_a 5.8419
_cell_length_b 5.8419
_cell_length_c 5.8419
_cell_angle_alpha 90.00
_cell_angle_beta 90.00
_cell_angle_gamma 90.00
_space_group_name_H-M_alt 'P m -3 m'
_space_group_IT_number 221
_space_group_name_Hall '-P 4 2 3'
loop_
_atom_site_label
_atom_site_fract_x
_atom_site_fract_y
_atom_site_fract_z
Na1 0.0000 0.0000 0.5000
Cu1 0.5000 0.5000 0.5000
Sb1 0.0000 0.0000 0.0000


# 5
# NaCuSb GGA-PBE relaxed
# Calculated density: 5.32 g/cm3
# Calculated total energy: -3.367 eV/atom
# Formation energy (no corrections): -0.188 eV/atom
data_NaCuSb
_cell_length_a 7.4721
_cell_length_b 4.5112
_cell_length_c 7.7089
_cell_angle_alpha 90.00
_cell_angle_beta 90.00
_cell_angle_gamma 90.00
_space_group_name_H-M_alt 'P n m a'
_space_group_IT_number 62
_space_group_name_Hall '-P 2ac 2n'
loop_
_atom_site_label
_atom_site_fract_x
_atom_site_fract_y
_atom_site_fract_z
Na1 0.0075 0.2500 0.1849
Cu1 0.1729 0.7500 0.4221
Sb1 0.1912 0.2500 0.6006


# 6
# Na2CuSb2 GGA-PBE relaxed
# Calculated density: 4.63 g/cm3
# Calculated total energy: -3.221 eV/atom
# Formation energy (no corrections): -0.226 eV/atom
# Energy above the most stable polymorph in this dataset: 26.4 meV/atom
data_Na2CuSb2
_cell_length_a 7.0136
_cell_length_b 7.0136
_cell_length_c 5.1467
_cell_angle_alpha 90.00
_cell_angle_beta 90.00
_cell_angle_gamma 90.00
_space_group_name_H-M_alt 'P 4/m b m'
_space_group_IT_number 127
_space_group_name_Hall '-P 4 2ab'
loop_
_atom_site_label
_atom_site_fract_x
_atom_site_fract_y
_atom_site_fract_z
Na1 0.1657 0.3343 0.0000
Cu1 0.0000 0.0000 0.5000
Sb1 0.1505 0.6505 0.5000